# 1
Here is a relaxed structure of Ti2HIrSe from the Alexandria database. Energies are from PBE.

```
data_Ti2HIrSe
_space_group_name_H-M_alt 'P 4/m m m'
_space_group_IT_number 123
_space_group_name_Hall '-P 4 2'
_cell_length_a 3.865
_cell_length_b 3.865
_cell_length_c 4.423
_cell_angle_alpha 90.00
_cell_angle_beta 90.00
_cell_angle_gamma 90.00
loop_
_atom_site_label
_atom_site_fract_x
_atom_site_fract_y
_atom_site_fract_z
_atom_site_occupancy
Ti1 0.000 0.500 0.000 1
H1 0.000 0.000 0.000 1
Ir1 0.500 0.500 0.500 1
Se1 0.000 0.000 0.500 1
```

## Properties
* final energy: -32.32 eV/cell

# 2
Here is a relaxed structure of CrSi2Os2 from the Alexandria database. Energies are from PBE.

```
data_CrSi2Os2
_space_group_name_H-M_alt 'P 4/m b m'
_space_group_IT_number 127
_space_group_name_Hall '-P 4 2ab'
_cell_length_a 7.030
_cell_length_b 7.030
_cell_length_c 2.880
_cell_angle_alpha 90.00
_cell_angle_beta 90.00
_cell_angle_gamma 90.00
loop_
_atom_site_label
_atom_site_fract_x
_atom_site_fract_y
_atom_site_fract_z
_atom_site_occupancy
Cr1 0.000 0.000 0.000 1
Si1 0.154 0.346 0.500 1
Os1 0.144 0.644 0.000 1
```

## Properties
* formation energy (no corrections): -1.40 kJ/mol of atoms

# 3
Here is a relaxed structure of PmDy4 from the Alexandria database. Energies are from PBE.

```
data_PmDy4
_space_group_name_H-M_alt 'I 4/m m m'
_space_group_IT_number 139
_space_group_name_Hall '-I 4 2'
_cell_length_a 3.558
_cell_length_b 3.558
_cell_length_c 25.249
_cell_angle_alpha 90.00
_cell_angle_beta 90.00
_cell_angle_gamma 90.00
loop_
_atom_site_label
_atom_site_fract_x
_atom_site_fract_y
_atom_site_fract_z
_atom_site_occupancy
Pm1 0.000 0.000 0.000 1
Dy1 0.000 0.000 0.201 1
Dy2 0.000 0.000 0.398 1
```

## Properties
* calculated formation energy: 0.091 eV per formula unit
* relative energy among the computed polymorphs: 2 meV/atom